[1]
This record from the Alexandria database describes a geometry-optimized CdFe2Ru structure. The functional is PBE.

Structure (CIF):
```
data_CdFe2Ru
_chemical_formula_sum 'Cd1 Fe2 Ru1'
_cell_length_a 2.945
_cell_length_b 2.945
_cell_length_c 6.686
_cell_angle_alpha 90.00
_cell_angle_beta 90.00
_cell_angle_gamma 90.00
_space_group_name_H-M_alt 'P 1'
_space_group_IT_number 1
_space_group_name_Hall 'P 1'
loop_
_atom_site_label
_atom_site_type_symbol
_atom_site_fract_x
_atom_site_fract_y
_atom_site_fract_z
Fe1 Fe 0.000 0.000 0.044
Fe2 Fe 0.500 0.500 0.244
Cd1 Cd 0.500 0.500 0.758
Ru1 Ru 0.000 0.000 0.454
```

Output
Formation enthalpy at 0 K = 0.23 eV per atom
ρ = 9.308 g cm⁻³
Total energy = -6.55 eV per atom



[2]
This record from the Alexandria database describes a geometry-optimized CdFeRu2 structure. The functional is PBE.

Structure (CIF):
```
data_CdFeRu2
_chemical_formula_sum 'Cd1 Fe1 Ru2'
_cell_length_a 9.208
_cell_length_b 9.208
_cell_length_c 9.208
_cell_angle_alpha 17.26
_cell_angle_beta 17.26
_cell_angle_gamma 17.26
_space_group_name_H-M_alt 'P 1'
_space_group_IT_number 1
_space_group_name_Hall 'P 1'
loop_
_atom_site_label
_atom_site_type_symbol
_atom_site_fract_x
_atom_site_fract_y
_atom_site_fract_z
Ru1 Ru 0.257 0.257 0.257
Ru2 Ru 0.000 0.000 0.000
Fe1 Fe 0.744 0.744 0.744
Cd1 Cd 0.499 0.499 0.499
```

Output
Formation enthalpy at 0 K = 0.29 eV per atom
ρ = 10.258 g cm⁻³
Total energy = -6.69 eV per atom



[3]
This record from the Alexandria database describes a geometry-optimized CdFeSn2Ru structure. The functional is PBE.

Structure (CIF):
```
data_CdFeSn2Ru
_chemical_formula_sum 'Cd1 Fe1 Sn2 Ru1'
_cell_length_a 4.893
_cell_length_b 4.508
_cell_length_c 4.893
_cell_angle_alpha 90.00
_cell_angle_beta 90.00
_cell_angle_gamma 90.00
_space_group_name_H-M_alt 'P 1'
_space_group_IT_number 1
_space_group_name_Hall 'P 1'
loop_
_atom_site_label
_atom_site_type_symbol
_atom_site_fract_x
_atom_site_fract_y
_atom_site_fract_z
Cd1 Cd 0.500 0.500 0.500
Fe1 Fe 0.000 0.000 0.000
Sn1 Sn 0.500 0.000 0.000
Ru1 Ru 0.000 0.500 0.000
Sn2 Sn 0.000 0.000 0.500
```

Output
Formation enthalpy at 0 K = 0.62 eV per atom
ρ = 7.795 g cm⁻³
Total energy = -4.71 eV per atom



[4]
This record from the Alexandria database describes a geometry-optimized CdFeSnRu2 structure. The functional is PBE.

Structure (CIF):
```
data_CdFeSnRu2
_chemical_formula_sum 'Cd1 Fe1 Sn1 Ru2'
_cell_length_a 4.867
_cell_length_b 4.710
_cell_length_c 4.867
_cell_angle_alpha 90.00
_cell_angle_beta 90.00
_cell_angle_gamma 90.00
_space_group_name_H-M_alt 'P 1'
_space_group_IT_number 1
_space_group_name_Hall 'P 1'
loop_
_atom_site_label
_atom_site_type_symbol
_atom_site_fract_x
_atom_site_fract_y
_atom_site_fract_z
Sn1 Sn 0.000 0.000 0.000
Ru1 Ru 0.000 0.000 0.500
Fe1 Fe 0.000 0.500 0.000
Ru2 Ru 0.500 0.000 0.000
Cd1 Cd 0.500 0.500 0.500
```

Output
Formation enthalpy at 0 K = 1.44 eV per atom
ρ = 7.279 g cm⁻³
Total energy = -4.94 eV per atom



[5]
This record from the Alexandria database describes a geometry-optimized CdFeTeRu structure. The functional is PBE.

Structure (CIF):
```
data_CdFeTeRu
_chemical_formula_sum 'Cd3 Fe3 Te3 Ru3'
_cell_length_a 4.006
_cell_length_b 4.006
_cell_length_c 18.250
_cell_angle_alpha 90.00
_cell_angle_beta 90.00
_cell_angle_gamma 120.00
_space_group_name_H-M_alt 'P 1'
_space_group_IT_number 1
_space_group_name_Hall 'P 1'
loop_
_atom_site_label
_atom_site_type_symbol
_atom_site_fract_x
_atom_site_fract_y
_atom_site_fract_z
Fe1 Fe 0.333 0.667 0.804
Ru1 Ru 0.000 0.000 0.446
Te1 Te 0.000 0.000 0.698
Fe2 Fe 0.000 0.000 0.137
Cd1 Cd 0.000 0.000 0.891
Cd2 Cd 0.333 0.667 0.558
Te2 Te 0.333 0.667 0.364
Te3 Te 0.667 0.333 0.031
Ru2 Ru 0.667 0.333 0.780
Cd3 Cd 0.667 0.333 0.225
Fe3 Fe 0.667 0.333 0.471
Ru3 Ru 0.333 0.667 0.113
```

Output
Raw formation energy = 283 meV per atom
E above lowest polymorph = 50.5 meV/atom
ρ = 7.798 g cm⁻³
Total energy = -5.17 eV per atom



[6]
This record from the Alexandria database describes a geometry-optimized CdFeTeRu structure. The functional is PBE.

Structure (CIF):
```
data_CdFeTeRu
_chemical_formula_sum 'Cd2 Fe2 Te2 Ru2'
_cell_length_a 7.230
_cell_length_b 3.827
_cell_length_c 6.633
_cell_angle_alpha 90.00
_cell_angle_beta 107.91
_cell_angle_gamma 90.00
_space_group_name_H-M_alt 'P 1'
_space_group_IT_number 1
_space_group_name_Hall 'P 1'
loop_
_atom_site_label
_atom_site_type_symbol
_atom_site_fract_x
_atom_site_fract_y
_atom_site_fract_z
Fe1 Fe 0.807 0.500 0.672
Te1 Te 0.991 0.500 0.400
Fe2 Fe 0.807 0.000 0.172
Te2 Te 0.991 0.000 0.900
Ru1 Ru 0.692 0.000 0.466
Cd1 Cd 0.417 0.000 0.040
Ru2 Ru 0.692 0.500 0.966
Cd2 Cd 0.417 0.500 0.540
```

Output
Raw formation energy = 271 meV per atom
E above lowest polymorph = 38.8 meV/atom
ρ = 7.549 g cm⁻³
Total energy = -5.18 eV per atom



[7]
This record from the Alexandria database describes a geometry-optimized CdFeTeRu structure. The functional is PBE.

Structure (CIF):
```
data_CdFeTeRu
_chemical_formula_sum 'Cd3 Fe3 Te3 Ru3'
_cell_length_a 3.940
_cell_length_b 3.940
_cell_length_c 20.827
_cell_angle_alpha 90.00
_cell_angle_beta 90.00
_cell_angle_gamma 120.00
_space_group_name_H-M_alt 'P 1'
_space_group_IT_number 1
_space_group_name_Hall 'P 1'
loop_
_atom_site_label
_atom_site_type_symbol
_atom_site_fract_x
_atom_site_fract_y
_atom_site_fract_z
Cd1 Cd 0.333 0.667 0.509
Ru1 Ru 0.000 0.000 0.714
Cd2 Cd 0.000 0.000 0.843
Fe1 Fe 0.333 0.667 0.084
Fe2 Fe 0.667 0.333 0.751
Fe3 Fe 0.000 0.000 0.417
Te1 Te 0.667 0.333 0.314
Cd3 Cd 0.667 0.333 0.176
Te2 Te 0.333 0.667 0.648
Ru2 Ru 0.333 0.667 0.380
Ru3 Ru 0.667 0.333 0.047
Te3 Te 0.000 0.000 0.981
```

Output
Raw formation energy = 255 meV per atom
E above lowest polymorph = 22.2 meV/atom
ρ = 7.063 g cm⁻³
Total energy = -5.19 eV per atom



[8]
This record from the Alexandria database describes a geometry-optimized CdFeTeRu structure. The functional is PBE.

Structure (CIF):
```
data_CdFeTeRu
_chemical_formula_sum 'Cd1 Fe1 Te1 Ru1'
_cell_length_a 4.055
_cell_length_b 4.055
_cell_length_c 6.312
_cell_angle_alpha 90.00
_cell_angle_beta 90.00
_cell_angle_gamma 120.00
_space_group_name_H-M_alt 'P 1'
_space_group_IT_number 1
_space_group_name_Hall 'P 1'
loop_
_atom_site_label
_atom_site_type_symbol
_atom_site_fract_x
_atom_site_fract_y
_atom_site_fract_z
Te1 Te 0.000 0.000 0.895
Ru1 Ru 0.667 0.333 0.117
Cd1 Cd 0.000 0.000 0.432
Fe1 Fe 0.333 0.667 0.182
```

Output
Raw formation energy = 242 meV per atom
E above lowest polymorph = 9.5 meV/atom
ρ = 7.333 g cm⁻³
Total energy = -5.21 eV per atom



[9]
This record from the Alexandria database describes a geometry-optimized CdFeTeRu structure. The functional is PBE.

Structure (CIF):
```
data_CdFeTeRu
_chemical_formula_sum 'Cd1 Fe1 Te1 Ru1'
_cell_length_a 3.098
_cell_length_b 3.038
_cell_length_c 8.346
_cell_angle_alpha 90.00
_cell_angle_beta 90.00
_cell_angle_gamma 90.00
_space_group_name_H-M_alt 'P 1'
_space_group_IT_number 1
_space_group_name_Hall 'P 1'
loop_
_atom_site_label
_atom_site_type_symbol
_atom_site_fract_x
_atom_site_fract_y
_atom_site_fract_z
Ru1 Ru 0.500 0.500 0.909
Fe1 Fe 0.000 0.000 0.754
Te1 Te 0.000 0.500 0.173
Cd1 Cd 0.500 0.500 0.538
```

Output
Raw formation energy = 289 meV per atom
E above lowest polymorph = 56.7 meV/atom
ρ = 8.390 g cm⁻³
Total energy = -5.16 eV per atom



[10]
This record from the Alexandria database describes a geometry-optimized CdFeTeRu structure. The functional is PBE.

Structure (CIF):
```
data_CdFeTeRu
_chemical_formula_sum 'Cd2 Fe2 Te2 Ru2'
_cell_length_a 3.248
_cell_length_b 3.241
_cell_length_c 15.207
_cell_angle_alpha 90.00
_cell_angle_beta 90.00
_cell_angle_gamma 90.00
_space_group_name_H-M_alt 'P 1'
_space_group_IT_number 1
_space_group_name_Hall 'P 1'
loop_
_atom_site_label
_atom_site_type_symbol
_atom_site_fract_x
_atom_site_fract_y
_atom_site_fract_z
Ru1 Ru 0.500 0.000 0.131
Ru2 Ru 0.000 0.500 0.631
Fe1 Fe 0.000 0.500 0.210
Cd1 Cd 0.000 0.500 0.018
Te1 Te 0.500 0.000 0.310
Fe2 Fe 0.500 0.000 0.710
Cd2 Cd 0.500 0.000 0.518
Te2 Te 0.000 0.500 0.810
```

Output
Raw formation energy = 233 meV per atom
E above lowest polymorph = 0.0 meV/atom
ρ = 8.234 g cm⁻³
Total energy = -5.22 eV per atom



[11]
This record from the Alexandria database describes a geometry-optimized Cd2Fe2S structure. The functional is PBE.

Structure (CIF):
```
data_Cd2Fe2S
_chemical_formula_sum 'Cd4 Fe4 S2'
_cell_length_a 8.152
_cell_length_b 8.152
_cell_length_c 2.750
_cell_angle_alpha 90.00
_cell_angle_beta 90.00
_cell_angle_gamma 90.00
_space_group_name_H-M_alt 'P 1'
_space_group_IT_number 1
_space_group_name_Hall 'P 1'
loop_
_atom_site_label
_atom_site_type_symbol
_atom_site_fract_x
_atom_site_fract_y
_atom_site_fract_z
Cd1 Cd 0.308 0.808 0.000
S1 S 0.500 0.500 0.000
Fe1 Fe 0.099 0.599 0.500
Cd2 Cd 0.192 0.308 0.000
Fe2 Fe 0.401 0.099 0.500
Fe3 Fe 0.599 0.901 0.500
Cd3 Cd 0.692 0.192 0.000
Fe4 Fe 0.901 0.401 0.500
Cd4 Cd 0.808 0.692 0.000
S2 S 0.000 0.000 0.000
```

Output
Raw formation energy = 530 meV per atom
E above lowest polymorph = 238.8 meV/atom
ρ = 6.700 g cm⁻³
Total energy = -4.05 eV per atom



[12]
This record from the Alexandria database describes a geometry-optimized CdFe2S structure. The functional is PBE.

Structure (CIF):
```
data_CdFe2S
_chemical_formula_sum 'Cd2 Fe4 S2'
_cell_length_a 6.569
_cell_length_b 6.569
_cell_length_c 5.420
_cell_angle_alpha 52.70
_cell_angle_beta 52.70
_cell_angle_gamma 90.00
_space_group_name_H-M_alt 'P 1'
_space_group_IT_number 1
_space_group_name_Hall 'P 1'
loop_
_atom_site_label
_atom_site_type_symbol
_atom_site_fract_x
_atom_site_fract_y
_atom_site_fract_z
Fe1 Fe 0.538 0.125 0.250
Fe2 Fe 0.875 0.788 0.750
Fe3 Fe 0.375 0.462 0.750
S1 S 0.500 0.500 0.000
Cd1 Cd 0.750 0.250 0.500
Cd2 Cd 0.000 0.000 0.000
S2 S 0.250 0.750 0.500
Fe4 Fe 0.212 0.625 0.250
```

Output
Raw formation energy = 323 meV per atom
ρ = 7.058 g cm⁻³
Total energy = -5.17 eV per atom



[13]
This record from the Alexandria database describes a geometry-optimized Cd2Fe2S structure. The functional is PBE.

Structure (CIF):
```
data_Cd2Fe2S
_chemical_formula_sum 'Cd2 Fe2 S1'
_cell_length_a 3.397
_cell_length_b 3.397
_cell_length_c 8.171
_cell_angle_alpha 78.00
_cell_angle_beta 78.00
_cell_angle_gamma 90.00
_space_group_name_H-M_alt 'P 1'
_space_group_IT_number 1
_space_group_name_Hall 'P 1'
loop_
_atom_site_label
_atom_site_type_symbol
_atom_site_fract_x
_atom_site_fract_y
_atom_site_fract_z
Fe1 Fe 0.750 0.250 0.500
S1 S 0.000 0.000 0.000
Fe2 Fe 0.250 0.750 0.500
Cd1 Cd 0.398 0.398 0.205
Cd2 Cd 0.602 0.602 0.795
```

Output
Raw formation energy = 292 meV per atom
E above lowest polymorph = 0.0 meV/atom
ρ = 6.793 g cm⁻³
Total energy = -4.28 eV per atom